# KMo2As

A geometry-optimized KMo2As structure (GGA-PBE, the Alexandria database).

E_form: 3.9 eV/f.u.
Theoretical density: 7.020 g/cm3
V: 18.1 A^3/atom
Space-group type: No. 216

a = 4.677 Å, b = 4.677 Å, c = 4.677 Å
α = 60.00°, β = 60.00°, γ = 60.00°
Last column: magnetic moment on the atom in μB.
Element x y z (fractional)
As 0.500 0.500 0.500  -0.01
Mo 0.250 0.250 0.250  0.47
Mo 0.000 0.000 0.000  -0.42
K 0.750 0.750 0.750  0.00

***

# CaSc2Nb

A geometry-optimized CaSc2Nb structure (GGA-PBE, the Alexandria database).

E_form: 4.9 eV/f.u.
Theoretical density: 2.565 g/cm3
V: 36.1 A^3/atom
Space-group type: No. 141
Excess energy over the best structure of this formula in the dataset: 1.016 eV per atom

a = 6.181 Å, b = 6.181 Å, c = 8.726 Å
α = 69.26°, β = 69.26°, γ = 90.00°
Element x y z (fractional)
Ca 0.250 0.750 0.500
Sc 0.375 0.126 0.750
Sc 0.874 0.125 0.250
Ca 0.500 0.500 0.000
Sc 0.876 0.625 0.250
Nb 0.000 0.000 0.000
Nb 0.750 0.250 0.500
Sc 0.875 0.124 0.750

***

# SmCN3

A geometry-optimized SmCN3 structure (GGA-PBE, the Alexandria database).

Theoretical density: 5.302 g/cm3
Raw total energy: -79.5 eV per cell
V: 12.8 A^3/atom
Space-group type: No. 11

a = 3.597 Å, b = 5.781 Å, c = 6.413 Å
α = 90.00°, β = 106.21°, γ = 90.00°
Element x y z (fractional)
Sm 0.152 0.250 0.804
N 0.347 0.068 0.195
C 0.416 0.250 0.332
Sm 0.848 0.750 0.196
C 0.584 0.750 0.668
N 0.474 0.750 0.451
N 0.526 0.250 0.549
N 0.653 0.932 0.805
N 0.653 0.568 0.805
N 0.347 0.432 0.195

***

# CaTl2Ag

A geometry-optimized CaTl2Ag structure (GGA-PBE, the Alexandria database).

E_form: -0.3 eV/f.u.
Theoretical density: 8.481 g/cm3
V: 27.2 A^3/atom
Space-group type: No. 12

a = 5.893 Å, b = 6.242 Å, c = 3.500 Å
α = 76.28°, β = 84.76°, γ = 116.51°
Element x y z (fractional)
Ag 0.000 0.500 0.500
Ca 0.500 0.500 0.000
Tl 0.500 0.000 0.500
Tl 0.000 0.000 0.000

***

# RbAl2H7

A geometry-optimized RbAl2H7 structure (GGA-PBE, the Alexandria database).

Theoretical density: 2.458 g/cm3
Raw total energy: -32.1 eV per cell
V: 9.9 A^3/atom
Space-group type: No. 65

a = 3.555 Å, b = 5.882 Å, c = 5.882 Å
α = 126.43°, β = 90.00°, γ = 90.00°
Element x y z (fractional)
H 0.000 0.699 0.301
H 0.500 0.967 0.659
Al 0.500 0.686 0.314
H 0.500 0.033 0.341
Rb 0.000 0.000 0.000
H 0.500 0.341 0.033
Al 0.500 0.314 0.686
H 0.500 0.500 0.500
H 0.500 0.659 0.967
H 0.000 0.301 0.699

***

# CdSbIr2

A geometry-optimized CdSbIr2 structure (GGA-PBE, the Alexandria database).

Theoretical density: 14.374 g/cm3
V: 17.9 A^3/atom
Space-group type: No. 8
Excess energy over the best structure of this formula in the dataset: 0.040 eV per atom

a = 5.267 Å, b = 5.267 Å, c = 4.916 Å
α = 70.90°, β = 70.90°, γ = 33.90°
Element x y z (fractional)
Sb 0.479 0.479 0.560
Cd 0.268 0.268 0.171
Ir 0.737 0.737 0.681
Ir 0.015 0.015 0.087

***

# Np2BeB2Ir5

A geometry-optimized Np2BeB2Ir5 structure (GGA-PBE, the Alexandria database).

E_form: -3.5 eV/f.u.
Theoretical density: 17.449 g/cm3
V: 13.9 A^3/atom
Space-group type: No. 127

a = 2.900 Å, b = 9.809 Å, c = 9.809 Å
α = 90.00°, β = 90.00°, γ = 90.00°
Last column: magnetic moment on the atom in μB.
Element x y z (fractional)
Np 0.000 0.684 0.184  3.46
Np 0.000 0.816 0.684  3.46
B 0.000 0.874 0.374  0.00
Ir 0.500 0.944 0.208  -0.07
Ir 0.500 0.708 0.444  -0.07
Np 0.000 0.316 0.816  3.46
Ir 0.500 0.208 0.056  -0.07
Ir 0.500 0.792 0.944  -0.07
Ir 0.500 0.556 0.708  -0.07
Ir 0.500 0.000 0.500  0.04
Ir 0.500 0.056 0.792  -0.07
Np 0.000 0.184 0.316  3.46
B 0.000 0.626 0.874  0.00
B 0.000 0.374 0.126  0.00
B 0.000 0.126 0.626  0.00
Ir 0.500 0.444 0.292  -0.07
Ir 0.500 0.500 0.000  0.04
Be 0.000 0.000 0.000  -0.01
Be 0.000 0.500 0.500  -0.01
Ir 0.500 0.292 0.556  -0.07

***

# NdLuMg

A geometry-optimized NdLuMg structure (GGA-PBE, the Alexandria database).

E_form: -0.1 eV/f.u.
Theoretical density: 6.458 g/cm3
V: 29.4 A^3/atom
Space-group type: No. 107
Excess energy over the best structure of this formula in the dataset: 0.000 eV per atom

a = 3.619 Å, b = 3.619 Å, c = 7.215 Å
α = 104.52°, β = 104.52°, γ = 90.00°
Last column: magnetic moment on the atom in μB.
Element x y z (fractional)
Nd 0.003 0.003 0.006  -0.06
Lu 0.325 0.325 0.650  -0.10
Mg 0.672 0.672 0.344  0.00

***

# Ag2Pd8Au

A geometry-optimized Ag2Pd8Au structure (GGA-PBE, the Alexandria database).

E_form: 1.9 eV/f.u.
Theoretical density: 11.156 g/cm3
V: 17.1 A^3/atom
Space-group type: No. 12
Excess energy over the best structure of this formula in the dataset: 0.095 eV per atom

a = 4.831 Å, b = 7.262 Å, c = 7.940 Å
α = 62.79°, β = 72.69°, γ = 49.42°
Element x y z (fractional)
Ag 0.000 0.316 0.367
Pd 0.296 0.450 0.000
Pd 0.500 0.192 0.615
Pd 0.500 0.808 0.385
Pd 0.775 0.377 0.724
Pd 0.704 0.550 0.000
Au 0.500 0.000 0.000
Pd 0.225 0.899 0.724
Ag 0.000 0.684 0.633
Pd 0.775 0.101 0.276
Pd 0.225 0.623 0.276

***

# Li4Pa3MnN8

A geometry-optimized Li4Pa3MnN8 structure (GGA-PBE, the Alexandria database).

Theoretical density: 7.296 g/cm3
Raw total energy: -126.3 eV per cell
V: 12.6 A^3/atom
Space-group type: No. 166

a = 6.770 Å, b = 6.422 Å, c = 6.768 Å
α = 121.84°, β = 120.01°, γ = 90.00°
Last column: magnetic moment on the atom in μB.
Element x y z (fractional)
Pa 0.500 0.500 0.000  0.02
Li 0.500 0.000 0.500  0.00
Li 0.000 0.000 0.500  0.00
Mn 0.000 0.500 0.000  2.69
Pa 0.000 0.500 0.500  0.02
Li 0.500 0.000 0.000  0.00
N 0.740 0.720 0.480  -0.04
Pa 0.500 0.500 0.500  0.02
N 0.229 0.712 0.458  -0.06
N 0.754 0.712 0.983  -0.06
N 0.260 0.280 0.520  -0.04
N 0.246 0.288 0.017  -0.06
N 0.771 0.288 0.542  -0.06
N 0.771 0.288 0.017  -0.06
Li 0.000 0.000 0.000  0.00
N 0.229 0.712 0.983  -0.06

***

# SmDyIr

A geometry-optimized SmDyIr structure (GGA-PBE, the Alexandria database).

E_form: -1.5 eV/f.u.
Theoretical density: 10.547 g/cm3
V: 26.5 A^3/atom
Space-group type: No. 107
Excess energy over the best structure of this formula in the dataset: 0.120 eV per atom

a = 3.509 Å, b = 3.509 Å, c = 6.918 Å
α = 104.69°, β = 104.69°, γ = 90.00°
Element x y z (fractional)
Dy 0.042 0.042 0.084
Ir 0.664 0.664 0.327
Sm 0.295 0.295 0.589

***

# FeCuIrAu

A geometry-optimized FeCuIrAu structure (GGA-PBE, the Alexandria database).

E_form: 0.6 eV/f.u.
Theoretical density: 14.762 g/cm3
V: 14.3 A^3/atom
Space-group type: No. 216

a = 4.325 Å, b = 4.325 Å, c = 4.325 Å
α = 60.00°, β = 60.00°, γ = 60.00°
Last column: magnetic moment on the atom in μB.
Element x y z (fractional)
Au 0.500 0.500 0.500  0.08
Cu 0.250 0.250 0.250  0.06
Ir 0.000 0.000 0.000  0.65
Fe 0.750 0.750 0.750  3.12